Entry 1:
The following is a DFT calculation (PBE) of crystalline CsTlAg2Br4 at its relaxed geometry.

Unit cell a=7.3812 b=7.3812 c=7.3812 alpha=113.89 beta=109.36 gamma=105.27
Last column: nearest neighbours and their distance in Å.
Positions (direct):
Cs (0.0000, 0.0000, 0.0000)  8 Br 3.67-3.82
Tl (0.5000, 0.5000, 0.0000)  4 Br 3.29
Ag (0.3230, 0.8230, 0.5000)  2 Br 2.51
Ag (0.6770, 0.1770, 0.5000)  2 Br 2.51
Br (0.1001, 0.0270, 0.5339)  1 Ag 2.51
Br (0.4930, 0.5662, 0.4661)  1 Ag 2.51
Br (0.5070, 0.9730, 0.0732)  1 Ag 2.51
Br (0.8999, 0.4338, 0.9268)  1 Ag 2.51

## Properties
M_tot = 0.00 μB per formula unit
calculated volume = 307.8 Å³ per cell

=====

Entry 2:
The following is a DFT calculation (PBE) of crystalline CsTl2AgBr4 at its relaxed geometry.

Unit cell a=8.3568 b=8.3568 c=16.6194 alpha=90.00 beta=90.00 gamma=147.33
Last column: nearest neighbours and their distance in Å.
Positions (direct):
Cs (0.1095, 0.8905, 0.7500)  6 Br 3.70-3.73
Cs (0.8905, 0.1095, 0.2500)  6 Br 3.70-3.73
Tl (0.3686, 0.6314, 0.5505)  6 Br 3.27-3.46
Tl (0.3686, 0.6314, 0.9495)  6 Br 3.27-3.46
Tl (0.6314, 0.3686, 0.0505)  6 Br 3.27-3.46
Tl (0.6314, 0.3686, 0.4495)  6 Br 3.27-3.46
Ag (0.1621, 0.8379, 0.2500)  4 Br 2.72-2.77
Ag (0.8379, 0.1621, 0.7500)  4 Br 2.72-2.77
Br (0.0000, 0.0000, 0.0000)  4 Tl 3.27
Br (0.0000, 0.0000, 0.5000)  4 Tl 3.27
Br (0.2702, 0.7298, 0.1236)  1 Ag 2.72
Br (0.2702, 0.7298, 0.3764)  1 Ag 2.72
Br (0.4290, 0.5710, 0.7500)  2 Ag 2.77
Br (0.5710, 0.4290, 0.2500)  2 Ag 2.77
Br (0.7298, 0.2702, 0.6236)  1 Ag 2.72
Br (0.7298, 0.2702, 0.8764)  1 Ag 2.72

## Properties
M_tot = 0.00 μB per formula unit
calculated volume = 626.5 Å³ per cell

=====

Entry 3:
The following is a DFT calculation (PBE) of crystalline CsTlAgBr6 at its relaxed geometry.

Unit cell a=7.1336 b=7.1366 c=8.0279 alpha=93.23 beta=93.30 gamma=113.96
Last column: nearest neighbours and their distance in Å.
Positions (direct):
Cs (0.0000, 0.0000, 0.0000)  6 Br 3.65-3.71
Tl (0.6560, 0.3423, 0.4998)  6 Br 2.69-2.91
Ag (0.3084, 0.6899, 0.5003)  4 Br 2.63-2.64
Br (0.3512, 0.0314, 0.6761)  1 Ag 2.64, 1 Tl 2.91
Br (0.3601, 0.4197, 0.2920)  1 Ag 2.63, 1 Tl 2.86
Br (0.5795, 0.6383, 0.7081)  1 Ag 2.63, 1 Tl 2.86
Br (0.6066, 0.0344, 0.2690)  1 Tl 2.69
Br (0.9648, 0.3922, 0.7307)  1 Tl 2.69
Br (0.9672, 0.6481, 0.3240)  1 Ag 2.64, 1 Tl 2.91

## Properties
M_tot = 0.93 μB per formula unit
calculated volume = 371.4 Å³ per cell

=====

Entry 4:
The following is a DFT calculation (PBE) of crystalline CsTlAg2Br8 at its relaxed geometry.

Unit cell a=15.7830 b=15.7830 c=15.7830 alpha=157.84 beta=157.84 gamma=31.54
Last column: nearest neighbours and their distance in Å.
Positions (direct):
Cs (0.0000, 0.0000, 0.0000)  8 Br 3.94-3.95, 4 Ag 4.29
Tl (0.2500, 0.7500, 0.5000)  4 Br 2.64
Ag (0.5000, 0.5000, 0.0000)  4 Br 2.61
Ag (0.7500, 0.2500, 0.5000)  4 Br 2.72
Br (0.0571, 0.0460, 0.4973)  1 Tl 2.64, 1 Ag 2.72
Br (0.3063, 0.5675, 0.7371)  1 Ag 2.61, 1 Br 2.89
Br (0.4308, 0.6937, 0.2612)  1 Ag 2.61, 1 Br 2.89
Br (0.4325, 0.1696, 0.7388)  1 Ag 2.61, 1 Br 2.89
Br (0.4402, 0.9429, 0.9889)  1 Tl 2.64, 1 Ag 2.72
Br (0.5487, 0.5598, 0.5027)  1 Tl 2.64, 1 Ag 2.72
Br (0.8304, 0.5692, 0.2629)  1 Ag 2.61, 1 Br 2.89
Br (0.9540, 0.4513, 0.0111)  1 Tl 2.64, 1 Ag 2.72

## Properties
M_tot = 0.00 μB per formula unit
calculated volume = 559.0 Å³ per cell

=====

Entry 5:
The following is a DFT calculation (PBE) of crystalline Cs2TmAg2Br6 at its relaxed geometry.

Unit cell a=8.1095 b=8.1095 c=9.1295 alpha=117.63 beta=117.63 gamma=59.99
Last column: nearest neighbours and their distance in Å.
Positions (direct):
Cs (0.2120, 0.2120, 0.1852)  5 Br 3.62-3.82
Cs (0.7880, 0.7880, 0.8148)  5 Br 3.62-3.82
Tm (0.0000, 0.0000, 0.5000)  6 Br 2.77-2.79
Ag (0.4531, 0.4531, 0.8250)  1 Ag 2.73, 3 Br 2.77-2.83
Ag (0.5469, 0.5469, 0.1750)  1 Ag 2.73, 3 Br 2.77-2.83
Br (0.1804, 0.7108, 0.2437)  1 Tm 2.79, 1 Ag 2.83
Br (0.2223, 0.2223, 0.5895)  1 Ag 2.77, 1 Tm 2.77
Br (0.2892, 0.8196, 0.7563)  1 Tm 2.79, 1 Ag 2.83
Br (0.7108, 0.1804, 0.2437)  1 Tm 2.79, 1 Ag 2.83
Br (0.7777, 0.7777, 0.4105)  1 Ag 2.77, 1 Tm 2.77
Br (0.8196, 0.2892, 0.7563)  1 Tm 2.79, 1 Ag 2.83

## Properties
M_tot = 0.96 μB per formula unit
calculated volume = 439.1 Å³ per cell

=====

Entry 6:
The following is a DFT calculation (PBE) of crystalline Cs3TmAg2Br9 at its relaxed geometry.

Unit cell a=7.9058 b=7.9058 c=9.8012 alpha=90.00 beta=90.00 gamma=120.00
Last column: nearest neighbours and their distance in Å.
Positions (direct):
Cs (0.0000, 0.0000, 0.0000)  12 Br 3.95-4.01
Cs (0.3333, 0.6667, 0.6770)  12 Br 3.90-4.04
Cs (0.6667, 0.3333, 0.3230)  12 Br 3.90-4.04
Tm (0.0000, 0.0000, 0.5000)  6 Br 2.77
Ag (0.3333, 0.6667, 0.1536)  6 Br 2.73-2.93
Ag (0.6667, 0.3333, 0.8464)  6 Br 2.73-2.93
Br (0.0000, 0.5000, 0.0000)  2 Ag 2.73
Br (0.1653, 0.3305, 0.3379)  1 Tm 2.77, 1 Ag 2.93
Br (0.1653, 0.8347, 0.3379)  1 Tm 2.77, 1 Ag 2.93
Br (0.3305, 0.1653, 0.6621)  1 Tm 2.77, 1 Ag 2.93
Br (0.5000, 0.0000, 0.0000)  2 Ag 2.73
Br (0.5000, 0.5000, 0.0000)  2 Ag 2.73
Br (0.6695, 0.8347, 0.3379)  1 Tm 2.77, 1 Ag 2.93
Br (0.8347, 0.1653, 0.6621)  1 Tm 2.77, 1 Ag 2.93
Br (0.8347, 0.6695, 0.6621)  1 Tm 2.77, 1 Ag 2.93

## Properties
M_tot = 0.00 μB per formula unit
calculated volume = 530.5 Å³ per cell

=====

Entry 7:
The following is a DFT calculation (PBE) of crystalline CsTmAg2Br6 at its relaxed geometry.

Unit cell a=10.1491 b=10.1491 c=9.0563 alpha=108.61 beta=108.61 gamma=85.85
Last column: nearest neighbours and their distance in Å.
Positions (direct):
Cs (0.1684, 0.8316, 0.7500)  8 Br 3.67-3.98
Cs (0.8316, 0.1684, 0.2500)  8 Br 3.67-3.98
Tm (0.1820, 0.8180, 0.2500)  4 Br 2.61-2.63
Tm (0.8180, 0.1820, 0.7500)  4 Br 2.61-2.63
Ag (0.3787, 0.4524, 0.8537)  4 Br 2.66-2.96, 1 Ag 2.93
Ag (0.4524, 0.3787, 0.3537)  4 Br 2.66-2.96, 1 Ag 2.93
Ag (0.5476, 0.6213, 0.6463)  4 Br 2.66-2.96, 1 Ag 2.93
Ag (0.6213, 0.5476, 0.1463)  4 Br 2.66-2.96, 1 Ag 2.93
Br (0.0454, 0.1865, 0.6747)  1 Tm 2.61
Br (0.1626, 0.6014, 0.9883)  1 Tm 2.63, 1 Ag 2.94
Br (0.1865, 0.0454, 0.1747)  1 Tm 2.61
Br (0.2876, 0.4543, 0.5422)  3 Ag 2.66-2.96
Br (0.3986, 0.8374, 0.5117)  1 Tm 2.63, 1 Ag 2.94
Br (0.4543, 0.2876, 0.0422)  3 Ag 2.66-2.96
Br (0.5457, 0.7124, 0.9578)  3 Ag 2.66-2.96
Br (0.6014, 0.1626, 0.4883)  1 Tm 2.63, 1 Ag 2.94
Br (0.7124, 0.5457, 0.4578)  3 Ag 2.66-2.96
Br (0.8135, 0.9546, 0.8253)  1 Tm 2.61
Br (0.8374, 0.3986, 0.0117)  1 Tm 2.63, 1 Ag 2.94
Br (0.9546, 0.8135, 0.3253)  1 Tm 2.61

## Properties
M_tot = 0.00 μB per formula unit
calculated volume = 837.4 Å³ per cell

=====

Entry 8:
The following is a DFT calculation (PBE) of crystalline Cs2TmAgBr6 at its relaxed geometry.

Unit cell a=7.9846 b=11.4068 c=7.9827 alpha=90.00 beta=90.00 gamma=90.00
Last column: nearest neighbours and their distance in Å.
Positions (direct):
Cs (0.2500, 0.0000, 0.2500)  12 Br 3.99-4.02
Cs (0.2500, 0.5000, 0.2500)  12 Br 3.99-4.02
Cs (0.7500, 0.0000, 0.7500)  12 Br 3.99-4.02
Cs (0.7500, 0.5000, 0.7500)  12 Br 3.99-4.02
Tm (0.2500, 0.2500, 0.7497)  6 Br 2.77
Tm (0.7500, 0.7500, 0.2503)  6 Br 2.77
Ag (0.2500, 0.7500, 0.7503)  6 Br 2.88-2.94
Ag (0.7500, 0.2500, 0.2497)  6 Br 2.88-2.94
Br (0.0049, 0.2500, 0.5043)  1 Tm 2.77, 1 Ag 2.88
Br (0.0047, 0.2500, 0.9949)  1 Tm 2.77, 1 Ag 2.88
Br (0.2500, 0.0075, 0.7497)  1 Tm 2.77, 1 Ag 2.94
Br (0.2500, 0.4925, 0.7497)  1 Tm 2.77, 1 Ag 2.94
Br (0.4951, 0.2500, 0.5043)  1 Tm 2.77, 1 Ag 2.88
Br (0.4953, 0.2500, 0.9949)  1 Tm 2.77, 1 Ag 2.88
Br (0.5047, 0.7500, 0.0051)  1 Tm 2.77, 1 Ag 2.88
Br (0.5049, 0.7500, 0.4957)  1 Tm 2.77, 1 Ag 2.88
Br (0.7500, 0.5075, 0.2503)  1 Tm 2.77, 1 Ag 2.94
Br (0.7500, 0.9925, 0.2503)  1 Tm 2.77, 1 Ag 2.94
Br (0.9953, 0.7500, 0.0051)  1 Tm 2.77, 1 Ag 2.88
Br (0.9951, 0.7500, 0.4957)  1 Tm 2.77, 1 Ag 2.88

## Properties
M_tot = 0.00 μB per formula unit
calculated volume = 727.1 Å³ per cell

=====

Looking at raw formation energy for the records above, in order, we have -0.82, -0.97, -0.68, -0.54, -1.26, -1.33, -1.17, -1.57 eV per atom.